First-principles (GGA-PBE) data for a relaxed structure of CaReOs, as listed in Alexandria via LeMat-Bulk.

total magnetic moment	0.0	μB per formula unit
DFT formation energy	0.421	eV/atom

Cell lengths 2.849, 3.869, 10.902 Å; angles 90.00, 90.00, 90.00 degrees
Space group Imm2 (No. 44)
Inequivalent atoms, fractional coordinates:
Ca 0.000 0.000 0.000 [2 per cell]
Re 0.000 0.000 0.289 [2 per cell]
Os 0.000 0.000 0.707 [2 per cell]


First-principles (GGA-PBE) data for a relaxed structure of CeTm2Al, as listed in Alexandria via LeMat-Bulk.

total magnetic moment	0.3	μB per formula unit
DFT formation energy	-0.050	eV/atom

Cell lengths 7.465, 7.465, 7.465 Å; angles 90.00, 90.00, 90.00 degrees
Space group F-43m (No. 216)
Inequivalent atoms, fractional coordinates:
Ce 0.000 0.000 0.000 [4 per cell]
Tm 0.000 0.000 0.500 [4 per cell]
Tm 0.250 0.250 0.750 [4 per cell]
Al 0.250 0.250 0.250 [4 per cell]


First-principles (GGA-PBE) data for a relaxed structure of UPaAs2, as listed in Alexandria via LeMat-Bulk.

total magnetic moment	3.8	μB per formula unit
DFT formation energy	-0.695	eV/atom

Cell lengths 3.506, 3.506, 7.075 Å; angles 90.00, 90.00, 90.00 degrees
Space group P4/mmm (No. 123)
Inequivalent atoms, fractional coordinates:
U 0.000 0.000 0.000 [1 per cell]
Pa 0.000 0.000 0.500 [1 per cell]
As 0.500 0.500 0.251 [2 per cell]


First-principles (GGA-PBE) data for a relaxed structure of Ho4GaPd2, as listed in Alexandria via LeMat-Bulk.

total magnetic moment	0.0	μB per formula unit
DFT formation energy	-0.509	eV/atom

Cell lengths 8.888, 12.884, 12.922 Å; angles 90.00, 90.00, 90.00 degrees
Space group Fddd (No. 70, origin choice 2)
Inequivalent atoms, fractional coordinates:
Ho 0.055 0.280 0.469 [32 per cell]
Ga 0.125 0.125 0.625 [8 per cell]
Pd 0.000 0.000 0.000 [16 per cell]


First-principles (GGA-PBE) data for a relaxed structure of K3Hg9Sb2, as listed in Alexandria via LeMat-Bulk.

total magnetic moment	0.0	μB per formula unit
formation energy (no corrections)	-0.180	eV/atom

Cell lengths 15.635, 11.531, 5.088 Å; angles 90.00, 108.81, 90.00 degrees
Space group C2/m (No. 12)
Inequivalent atoms, fractional coordinates:
K 0.000 0.000 0.000 [2 per cell]
K 0.171 0.500 0.670 [4 per cell]
Hg 0.000 0.500 0.000 [2 per cell]
Hg 0.127 0.272 0.129 [8 per cell]
Hg 0.184 0.129 0.687 [8 per cell]
Sb 0.000 0.252 0.500 [4 per cell]


First-principles (GGA-PBE) data for a relaxed structure of SiHgTe2, as listed in Alexandria via LeMat-Bulk.

total magnetic moment	0.0	μB per formula unit
formation energy (no corrections)	0.340	eV/atom

Cell lengths 4.025, 5.310, 9.930 Å; angles 90.00, 90.00, 90.00 degrees
Space group Cmm2 (No. 35)
Inequivalent atoms, fractional coordinates:
Si 0.000 0.000 0.000 [2 per cell]
Hg 0.000 0.500 0.209 [2 per cell]
Te 0.000 0.000 0.462 [2 per cell]
Te 0.000 0.500 0.808 [2 per cell]


First-principles (GGA-PBE) data for a relaxed structure of Tb4Pr5Dy, as listed in Alexandria via LeMat-Bulk.

total magnetic moment	0.0	μB per formula unit
DFT formation energy	0.139	eV/atom

Cell lengths 18.405, 3.622, 10.592 Å; angles 90.00, 96.04, 90.00 degrees
Space group C2/m (No. 12)
Inequivalent atoms, fractional coordinates:
Tb 0.046 0.000 0.263 [4 per cell]
Tb 0.182 0.500 0.414 [4 per cell]
Pr 0.000 0.500 0.000 [2 per cell]
Pr 0.141 0.000 0.729 [4 per cell]
Pr 0.190 0.000 0.100 [4 per cell]
Dy 0.000 0.500 0.500 [2 per cell]


First-principles (GGA-PBE) data for a relaxed structure of Nd6Ho3Th2, as listed in Alexandria via LeMat-Bulk.

total magnetic moment	0.0	μB per formula unit
DFT formation energy	0.219	eV/atom

Cell lengths 6.220, 10.782, 11.730 Å; angles 90.00, 100.32, 90.00 degrees
Space group C2/m (No. 12)
Inequivalent atoms, fractional coordinates:
Nd 0.249 0.000 0.247 [4 per cell]
Nd 0.249 0.334 0.247 [8 per cell]
Ho 0.000 0.000 0.500 [2 per cell]
Ho 0.000 0.334 0.500 [4 per cell]
Th 0.000 0.167 0.000 [4 per cell]


| no. | calculated volume (Å³/cell) |
| --- | --- |
| 1 | 120.2 |
| 2 | 416.0 |
| 3 | 87.0 |
| 4 | 1479.8 |
| 5 | 868.2 |
| 6 | 212.2 |
| 7 | 702.3 |
| 8 | 773.9 |